(1)
## GdCdInPd (PBE-GGA)

Data for an optimized crystal structure of GdCdInPd.

The space group is F-43m (No. 216) and the conventional cell measures 7.0292, 7.0292 and 7.0292 Å, with angles of 90.00, 90.00 and 90.00 degrees. Symmetry generates all atoms from Gd at (0.0000, 0.0000, 0.0000), Cd at (0.2500, 0.2500, 0.7500), In at (0.0000, 0.0000, 0.5000) and Pd at (0.2500, 0.2500, 0.2500).

The total energy comes out at -100.1 eV for the cell shown. As for the energy relative to the elements: -0.522 eV/atom.

(2)
## PmGdCdIn (PBE-GGA)

Data for an optimized crystal structure of PmGdCdIn.

The space group is F-43m (No. 216) and the conventional cell measures 7.6282, 7.6282 and 7.6282 Å, with angles of 90.00, 90.00 and 90.00 degrees. Symmetry generates all atoms from Pm at (0.0000, 0.0000, 0.0000), Gd at (0.0000, 0.0000, 0.5000), Cd at (0.2500, 0.2500, 0.2500) and In at (0.2500, 0.2500, 0.7500).

The total energy comes out at -96.8 eV for the cell shown. As for the energy relative to the elements: -0.429 eV/atom.

(3)
## PrGdCdIn (PBE-GGA)

Data for an optimized crystal structure of PrGdCdIn.

The space group is F-43m (No. 216) and the conventional cell measures 7.6890, 7.6890 and 7.6890 Å, with angles of 90.00, 90.00 and 90.00 degrees. Symmetry generates all atoms from Pr at (0.0000, 0.0000, 0.0000), Gd at (0.0000, 0.0000, 0.5000), Cd at (0.2500, 0.2500, 0.2500) and In at (0.2500, 0.2500, 0.7500).

The total energy comes out at -96.8 eV for the cell shown. As for the energy relative to the elements: -0.423 eV/atom.

Repeat the second record exactly.
## PmGdCdIn (PBE-GGA)

Data for an optimized crystal structure of PmGdCdIn.

The space group is F-43m (No. 216) and the conventional cell measures 7.6282, 7.6282 and 7.6282 Å, with angles of 90.00, 90.00 and 90.00 degrees. Symmetry generates all atoms from Pm at (0.0000, 0.0000, 0.0000), Gd at (0.0000, 0.0000, 0.5000), Cd at (0.2500, 0.2500, 0.2500) and In at (0.2500, 0.2500, 0.7500).

The total energy comes out at -96.8 eV for the cell shown. As for the energy relative to the elements: -0.429 eV/atom.

- Among the records above, which one has the lowest energy relative to the elements?
  GdCdInPd